(1)
KTlP2 (GGA-PBE, relaxed); formation energy = -14.2 kJ/mol of atoms
1.0
-1.7860 3.4498 4.7349
1.3141 2.3224 5.5127
2.3909 6.6085 0.0489
K Tl P
1 1 2
direct
0.7500 0.7500 0.7500
0.2500 0.2500 0.2500
0.4834 0.4834 0.3619
0.0166 0.0166 0.1381

=====

(2)
BaSc2Ni2 (GGA-PBE, relaxed); formation energy = -13.1 kJ/mol of atoms
1.0
-0.3414 3.9651 2.0232
-3.7521 -1.3481 2.0089
1.0484 -0.6903 6.4557
Ni Sc Ba
2 2 1
direct
0.3816 0.3816 0.2369
0.6184 0.6184 0.7631
0.2500 0.7500 0.5000
0.7500 0.2500 0.5000
0.0000 0.0000 0.0000

=====

(3)
Zr5NiSb9 (GGA-PBE, relaxed); formation energy without anion corrections = -8.4 eV per formula unit
1.0
8.9182 0.0000 0.0000
0.0000 8.9182 0.0000
0.0000 0.0000 8.8066
Sb Zr Ni
18 10 2
direct
0.2735 0.0851 0.0005
0.0000 0.5000 0.3911
0.6985 0.4019 0.6176
0.8015 0.0981 0.3824
0.0981 0.1985 0.6176
0.4019 0.3015 0.3824
0.0851 0.7265 0.9995
0.2265 0.4149 0.9995
0.3015 0.5981 0.6176
0.4149 0.7735 0.0005
0.1985 0.9019 0.3824
0.5981 0.6985 0.3824
0.9149 0.2735 0.9995
0.7265 0.9149 0.0005
0.5851 0.2265 0.0005
0.9019 0.8015 0.6176
0.7735 0.5851 0.9995
0.5000 0.0000 0.6089
0.2033 0.8967 0.7346
0.7033 0.3967 0.2654
0.6033 0.7033 0.7346
0.8967 0.7967 0.2654
0.5000 0.0000 0.2548
0.0000 0.5000 0.7452
0.7967 0.1033 0.7346
0.1033 0.2033 0.2654
0.2967 0.6033 0.2654
0.3967 0.2967 0.7346
0.5000 0.5000 0.0000
0.0000 0.0000 0.0000

=====

(4)
ErBeCoB2 (GGA-PBE, relaxed); formation energy = -34.6 kJ/mol of atoms
1.0
3.4728 0.0000 0.0000
0.0000 3.4728 0.0000
-1.7364 -1.7364 4.4570
B Be Co Er
2 1 1 1
direct
0.6173 0.6173 0.2345
0.3827 0.3827 0.7655
0.2500 0.7500 0.5000
0.7500 0.2500 0.5000
0.0000 0.0000 0.0000

=====

| no. | final energy (eV per atom) | D(E_F) (states/eV/atom) |
| --- | --- | --- |
| 1 | -3.718 | 0.061 |
| 2 | -5.365 | 0.719 |
| 3 | -6.271 | 0.448 |
| 4 | -6.108 | 0.717 |